# 1
Here is an optimized crystal structure of AgMoO3 from Alexandria via LeMat-Bulk. Energies are from GGA+U.

The structure in CIF format:
```
data_AgMoO3
_space_group_name_H-M_alt 'P 1 21/m 1'
_space_group_IT_number 11
_cell_length_a 3.102
_cell_length_b 7.606
_cell_length_c 5.947
_cell_angle_alpha 90.00
_cell_angle_beta 105.01
_cell_angle_gamma 90.00
loop_
_space_group_symop_operation_xyz
'x,y,z'
'-x,-y,-z'
'-x,y+1/2,-z'
'x,-y+1/2,z'
loop_
_atom_site_label
_atom_site_fract_x
_atom_site_fract_y
_atom_site_fract_z
Ag1 0.247 0.250 0.492
Mo1 0.000 0.000 0.000
O1 0.046 0.250 0.092
O2 0.390 0.041 0.779
```

- density of states at the Fermi level (states/eV per atom) = 0.080
- energy (eV/atom) = -6.054

***

# 2
Here is an optimized crystal structure of LiDy2WO6 from Alexandria via LeMat-Bulk. Energies are from GGA+U.

The structure in CIF format:
```
data_LiDy2WO6
_space_group_name_H-M_alt 'P 1'
_space_group_IT_number 1
_cell_length_a 5.554
_cell_length_b 5.582
_cell_length_c 5.897
_cell_angle_alpha 91.02
_cell_angle_beta 117.26
_cell_angle_gamma 119.82
loop_
_space_group_symop_operation_xyz
'x,y,z'
loop_
_atom_site_label
_atom_site_fract_x
_atom_site_fract_y
_atom_site_fract_z
Li1 0.000 0.000 0.000
Dy1 0.511 0.254 0.775
Dy2 0.534 0.772 0.290
W1 0.933 0.465 0.395
O1 0.029 0.362 0.133
O2 0.034 0.205 0.597
O3 0.400 0.824 0.598
O4 0.457 0.096 0.119
O5 0.772 0.557 0.587
O6 0.778 0.672 0.130
```

- density of states at the Fermi level (states/eV per atom) = 0.000
- energy (eV/atom) = -7.623